Record 1
Density functional theory data (PBE) for a relaxed Ho2TaN crystal.

```
data_Ho2TaN
_cell_length_a 3.2538
_cell_length_b 3.2538
_cell_length_c 26.4324
_cell_angle_alpha 90.00
_cell_angle_beta 90.00
_cell_angle_gamma 120.00
_symmetry_space_group_name_H-M 'R -3 m'
_symmetry_Int_Tables_number 166
_symmetry_space_group_name_Hall '-R 3 2"'
loop_
_atom_site_label
_atom_site_fract_x
_atom_site_fract_y
_atom_site_fract_z
Ho1 0.0000 0.0000 0.1144
Ta1 0.0000 0.0000 0.0000
N1 0.0000 0.0000 0.5000
```

Calculated values
Spin magnetization = 2.2 Bohr magnetons per cell
Formation energy without anion corrections = -0.27 eV/atom



Record 2
Density functional theory data (PBE) for a relaxed CsPmBO4 crystal.

```
data_CsPmBO4
_cell_length_a 5.382
_cell_length_b 5.480
_cell_length_c 7.908
_cell_angle_alpha 90.00
_cell_angle_beta 95.20
_cell_angle_gamma 90.00
_symmetry_space_group_name_H-M 'P 1 21/m 1'
_symmetry_Int_Tables_number 11
_symmetry_space_group_name_Hall '-P 2yb'
loop_
_atom_site_label
_atom_site_fract_x
_atom_site_fract_y
_atom_site_fract_z
Cs1 0.249 0.250 0.406
Pm1 0.284 0.750 0.027
B1 0.208 0.250 0.842
O1 0.031 0.750 0.261
O2 0.158 0.250 0.026
O3 0.365 0.033 0.816
```

Calculated values
Spin magnetization = 2.1 Bohr magnetons per cell
Formation energy without anion corrections = -2.39 eV/atom



Record 3
Density functional theory data (PBE) for a relaxed CdTe2IrW crystal.

```
data_CdTe2IrW
_cell_length_a 5.347
_cell_length_b 5.347
_cell_length_c 4.897
_cell_angle_alpha 90.00
_cell_angle_beta 90.00
_cell_angle_gamma 90.00
_symmetry_space_group_name_H-M 'P 4/m m m'
_symmetry_Int_Tables_number 123
_symmetry_space_group_name_Hall '-P 4 2'
loop_
_atom_site_label
_atom_site_fract_x
_atom_site_fract_y
_atom_site_fract_z
Cd1 0.000 0.000 0.000
Te1 0.000 0.500 0.500
Ir1 0.500 0.500 0.500
W1 0.500 0.500 0.000
```

Calculated values
Spin magnetization = 2.8 Bohr magnetons per cell
Formation energy without anion corrections = 1.10 eV/atom



Record 4
Density functional theory data (PBE) for a relaxed LiPuAsPt crystal.

```
data_LiPuAsPt
_cell_length_a 6.733
_cell_length_b 6.733
_cell_length_c 6.733
_cell_angle_alpha 90.00
_cell_angle_beta 90.00
_cell_angle_gamma 90.00
_symmetry_space_group_name_H-M 'F -4 3 m'
_symmetry_Int_Tables_number 216
_symmetry_space_group_name_Hall 'F -4 2 3'
loop_
_atom_site_label
_atom_site_fract_x
_atom_site_fract_y
_atom_site_fract_z
Li1 0.000 0.000 0.000
Pu1 0.000 0.000 0.500
As1 0.250 0.250 0.250
Pt1 0.250 0.250 0.750
```

Calculated values
E_form = -14.515 kcal/mol of atoms
Spin magnetization = 18.9 Bohr magnetons per cell



Record 5
Density functional theory data (PBE) for a relaxed Nd12Sm7Dy crystal.

```
data_Nd12Sm7Dy
_cell_length_a 19.7223
_cell_length_b 19.7223
_cell_length_c 6.3104
_cell_angle_alpha 90.00
_cell_angle_beta 90.00
_cell_angle_gamma 120.00
_symmetry_space_group_name_H-M 'R -3'
_symmetry_Int_Tables_number 148
_symmetry_space_group_name_Hall '-R 3'
loop_
_atom_site_label
_atom_site_fract_x
_atom_site_fract_y
_atom_site_fract_z
Nd1 0.9999 0.4114 0.4993
Nd2 0.0967 0.5480 0.9645
Sm1 0.0000 0.0000 0.5000
Sm2 0.0824 0.1654 0.7927
Dy1 0.0000 0.0000 0.0000
```

Calculated values
E_form = 5.196 kcal/mol of atoms
E above lowest polymorph = 4 meV/atom
Spin magnetization = 0.0 Bohr magnetons per cell



Record 6
Density functional theory data (PBE) for a relaxed Mg2MoAs crystal.

```
data_Mg2MoAs
_cell_length_a 9.658
_cell_length_b 2.845
_cell_length_c 5.198
_cell_angle_alpha 90.00
_cell_angle_beta 95.39
_cell_angle_gamma 90.00
_symmetry_space_group_name_H-M 'C 1 m 1'
_symmetry_Int_Tables_number 8
_symmetry_space_group_name_Hall 'C -2y'
loop_
_atom_site_label
_atom_site_fract_x
_atom_site_fract_y
_atom_site_fract_z
Mg1 0.000 0.000 0.000
Mg2 0.244 0.000 0.754
Mo1 0.001 0.500 0.496
As1 0.260 0.500 0.297
```

Calculated values
E_form = 2.698 kcal/mol of atoms
Spin magnetization = 0.0 Bohr magnetons per cell



Record 7
Density functional theory data (PBE) for a relaxed CdCoRh3 crystal.

```
data_CdCoRh3
_cell_length_a 4.491
_cell_length_b 4.491
_cell_length_c 4.491
_cell_angle_alpha 90.00
_cell_angle_beta 90.00
_cell_angle_gamma 90.00
_symmetry_space_group_name_H-M 'P m -3 m'
_symmetry_Int_Tables_number 221
_symmetry_space_group_name_Hall '-P 4 2 3'
loop_
_atom_site_label
_atom_site_fract_x
_atom_site_fract_y
_atom_site_fract_z
Cd1 0.000 0.000 0.000
Co1 0.500 0.500 0.500
Rh1 0.000 0.500 0.500
```

Calculated values
E_form = 18.088 kcal/mol of atoms
E above lowest polymorph = 0 meV/atom
Spin magnetization = 3.8 Bohr magnetons per cell



Record 8
Density functional theory data (PBE) for a relaxed LiAgGe2I crystal.

```
data_LiAgGe2I
_cell_length_a 4.783
_cell_length_b 4.783
_cell_length_c 5.035
_cell_angle_alpha 90.00
_cell_angle_beta 90.00
_cell_angle_gamma 90.00
_symmetry_space_group_name_H-M 'P 4/m m m'
_symmetry_Int_Tables_number 123
_symmetry_space_group_name_Hall '-P 4 2'
loop_
_atom_site_label
_atom_site_fract_x
_atom_site_fract_y
_atom_site_fract_z
Li1 0.000 0.000 0.000
Ag1 0.000 0.000 0.500
Ge1 0.000 0.500 0.000
I1 0.500 0.500 0.500
```

Calculated values
Spin magnetization = 0.0 Bohr magnetons per cell
Formation energy without anion corrections = 0.45 eV/atom